Record 1
AlInOs: optimized geometry, GGA-PBEsol.

Cell: 3.180 4.261 4.261 Å, 120.00 90.00 90.00°
Element x y z (fractional)
Os 0.500 0.667 0.333
In 0.000 0.333 0.667
Al 0.500 0.000 0.000

Summary:
**Fermi-level density of states**: 0.830 states/eV per cell
**Calculated density**: 11.0 g/cm3
**Final energy**: -6.316 eV/atom

Record 2
Al3InOs: optimized geometry, GGA-PBEsol.

Cell: 4.848 4.848 4.848 Å, 90.00 90.00 90.00°
Last column: magnetic moment on the atom in μB.
Element x y z (fractional)
In 0.000 0.000 0.000  0.00
Al 0.500 0.000 0.000  -0.01
Al 0.000 0.500 0.000  -0.01
Al 0.000 0.000 0.500  -0.01
Os 0.500 0.500 0.500  1.25

Summary:
**Fermi-level density of states**: 6.227 states/eV per cell
**Calculated density**: 5.6 g/cm3
**Final energy**: -3.644 eV/atom

Record 3
AlInOs: optimized geometry, GGA-PBEsol.

Cell: 2.961 2.961 6.608 Å, 90.00 90.00 120.00°
Element x y z (fractional)
In 0.667 0.333 0.654
Os 0.333 0.667 0.314
Al 0.000 0.000 0.033

Summary:
**Fermi-level density of states**: 2.251 states/eV per cell
**Calculated density**: 11.0 g/cm3
**Final energy**: -6.256 eV/atom

Record 4
AlIn2SnOs: optimized geometry, GGA-PBEsol.

Cell: 4.997 4.997 5.085 Å, 90.00 90.00 90.00°
Last column: magnetic moment on the atom in μB.
Element x y z (fractional)
Sn 0.000 0.000 0.500  -0.04
In 0.000 0.500 0.000  -0.01
In 0.500 0.000 0.000  -0.01
Al 0.000 0.000 0.000  0.00
Os 0.500 0.500 0.500  1.95

Summary:
**Fermi-level density of states**: 6.450 states/eV per cell
**Calculated density**: 7.4 g/cm3
**Final energy**: -3.792 eV/atom

Record 5
Al2InP: optimized geometry, GGA-PBEsol.

Cell: 3.464 4.146 5.882 Å, 110.64 107.13 90.00°
Element x y z (fractional)
P 0.270 0.770 0.540
Al 0.943 0.943 0.885
Al 0.747 0.247 0.495
In 0.540 0.540 0.080

Summary:
**E above lowest polymorph**: 29 meV per atom
**Fermi-level density of states**: 1.386 states/eV per cell
**Calculated density**: 4.4 g/cm3

Record 6
Al2InP: optimized geometry, GGA-PBEsol.

Cell: 3.536 4.837 5.250 Å, 109.29 90.00 111.44°
Element x y z (fractional)
Al 0.928 0.857 0.837
Al 0.787 0.575 0.263
P 0.230 0.460 0.924
In 0.554 0.109 0.476

Summary:
**E above lowest polymorph**: 0 meV per atom
**Fermi-level density of states**: 1.408 states/eV per cell
**Calculated density**: 4.2 g/cm3